The following is a PBEsol calculation of a relaxed AlZnSe2 crystal, from Alexandria.

Spin magnetization ... 0.00 Bohr magnetons per cell
Formation energy without anion corrections ... -355 meV/atom
Space-group type ... No. 166

Structure (POSCAR):
```
AlZnSe2
1.0
-1.364 -1.555 -3.033
1.949 0.024 -3.111
3.413 -7.166 -0.082
Al Se Zn
1 2 1
Cartesian
1.999 -4.349 -3.113 Al
1.609 -3.649 -5.518 Se
2.389 -5.049 -0.708 Se
0.000 0.000 0.000 Zn
```

***

The following is a PBEsol calculation of a relaxed AlZnSe2 crystal, from Alexandria.

Spin magnetization ... 0.00 Bohr magnetons per cell
Formation energy without anion corrections ... -381 meV/atom
Space-group type ... No. 122

Structure (POSCAR):
```
AlZnSe2
1.0
-3.780 4.162 0.746
0.054 -0.953 5.590
6.362 2.369 -2.534
Al Zn Se
2 2 4
Cartesian
0.359 4.067 0.690 Al
-1.863 1.604 3.168 Al
2.276 1.510 3.112 Zn
0.000 0.000 0.000 Zn
0.218 1.320 4.538 Se
4.306 2.177 -1.106 Se
-1.696 3.874 2.115 Se
2.442 3.782 2.058 Se
```

***

The following is a PBEsol calculation of a relaxed Al2ZnSe4 crystal, from Alexandria.

Spin magnetization ... 0.00 Bohr magnetons per cell
Formation energy without anion corrections ... -747 meV/atom
Space-group type ... No. 6

Structure (POSCAR):
```
Al2ZnSe4
1.0
3.817 0.000 0.000
0.000 6.382 0.003
0.000 -0.036 6.801
Se Al Zn
4 2 1
Cartesian
0.000 4.121 2.229 Se
0.000 0.666 4.374 Se
1.908 0.722 1.231 Se
1.908 4.017 5.713 Se
1.908 3.045 1.174 Al
1.908 0.156 5.786 Al
0.000 3.094 4.437 Zn
```

***

The following is a PBEsol calculation of a relaxed Al2ZnSe4 crystal, from Alexandria.

Spin magnetization ... 0.00 Bohr magnetons per cell
Formation energy without anion corrections ... -794 meV/atom
Space-group type ... No. 82

Structure (POSCAR):
```
Al2ZnSe4
1.0
-5.408 0.869 -0.634
-0.721 -0.519 5.442
3.848 5.148 -1.793
Al Se Zn
2 4 1
Cartesian
-3.065 0.175 2.404 Al
0.031 2.402 3.027 Al
2.143 3.795 -0.657 Se
-0.996 4.003 1.552 Se
-3.929 1.936 1.010 Se
-1.781 1.262 4.126 Se
0.000 0.000 0.000 Zn
```

***

Calculated total energy in order - -14.8; -29.8; -30.4; -30.7 eV per cell